1.
Ca2CuGe3Au4: relaxed, GGA-PBE.

Unit cell a=4.4677 b=4.4677 c=10.4291 alpha=90.00 beta=90.00 gamma=90.00
Atoms (fractional coordinates):
Ca (0.5000, 0.0000, 0.2522)
Ca (0.0000, 0.5000, 0.7478)
Cu (0.5000, 0.5000, 0.5000)
Ge (0.0000, 0.0000, 0.5000)
Ge (0.5000, 0.0000, 0.8652)
Ge (0.0000, 0.5000, 0.1348)
Au (0.5000, 0.5000, 0.0000)
Au (0.0000, 0.0000, 0.0000)
Au (0.5000, 0.0000, 0.6253)
Au (0.0000, 0.5000, 0.3747)

Symmetry: P-4m2, No. 115
Final energy in eV/atom: -3.93
M_tot in μB per formula unit: 0.000
V in Å³ per atom: 20.82
N(E_F) in states/eV per atom: 0.324


2.
LiPrP2Rh5: relaxed, GGA-PBE.

Unit cell a=4.0927 b=4.0927 c=8.6882 alpha=90.00 beta=90.00 gamma=90.00
Atoms (fractional coordinates):
Li (0.0000, 0.0000, 0.0000)
Pr (0.0000, 0.0000, 0.5000)
P (0.5000, 0.5000, 0.1301)
P (0.5000, 0.5000, 0.8699)
Rh (0.0000, 0.5000, 0.2454)
Rh (0.5000, 0.0000, 0.2454)
Rh (0.0000, 0.5000, 0.7546)
Rh (0.5000, 0.0000, 0.7546)
Rh (0.5000, 0.5000, 0.5000)

Symmetry: P4/mmm, No. 123
Final energy in eV/atom: -6.68
M_tot in μB per formula unit: 0.000
V in Å³ per atom: 16.17
N(E_F) in states/eV per atom: 0.529


3.
LiAsOs2: relaxed, GGA-PBE.

Unit cell a=8.3962 b=8.3962 c=8.3962 alpha=19.89 beta=19.89 gamma=19.89
Atoms (fractional coordinates):
As (0.2500, 0.2500, 0.2500)
Li (0.7500, 0.7500, 0.7500)
Os (0.9916, 0.9916, 0.9916)
Os (0.5084, 0.5084, 0.5084)

Symmetry: R-3m, No. 166
Final energy in eV/atom: -6.79
M_tot in μB per formula unit: 0.000
V in Å³ per atom: 14.98
N(E_F) in states/eV per atom: 0.733


4.
BaCdRu2: relaxed, GGA-PBE.

Unit cell a=4.8793 b=3.1874 c=6.2238 alpha=82.58 beta=90.00 gamma=90.00
Last column: magnetic moment on the atom in μB.
Atoms (fractional coordinates):
Ba (0.5000, 0.2500, 0.2500)  -0.03
Cd (0.5000, 0.7500, 0.7500)  -0.02
Ru (0.0000, 0.9661, 0.9059)  0.81
Ru (0.0000, 0.5339, 0.5941)  0.81

Symmetry: P2/m, No. 10
Final energy in eV/atom: -4.64
M_tot in μB per formula unit: 1.602
V in Å³ per atom: 24.00
N(E_F) in states/eV per atom: 1.317


5.
AgSbAu: relaxed, GGA-PBE.

Unit cell a=3.3257 b=3.3257 c=6.6653 alpha=90.00 beta=90.00 gamma=120.00
Atoms (fractional coordinates):
Sb (0.3333, 0.6667, 0.6608)
Au (0.6667, 0.3333, 0.3283)
Ag (0.0000, 0.0000, 0.0109)

Symmetry: P3m1, No. 156
Energy above the lowest structure with this stoichiometry in eV per atom: 0.128
Final energy in eV/atom: -3.31
M_tot in μB per formula unit: 0.000
V in Å³ per atom: 21.28
Formation energy without anion corrections in eV per atom: 0.1094
N(E_F) in states/eV per atom: 0.433


6.
K3Ho3NpO8: relaxed, GGA-PBE.

Unit cell a=6.9360 b=6.9359 c=7.4978 alpha=117.56 beta=90.00 gamma=120.00
Last column: magnetic moment on the atom in μB.
Atoms (fractional coordinates):
K (0.0000, 0.0000, 0.0000)  0.00
K (0.0000, 0.5000, 0.0000)  0.00
K (0.5000, 0.5000, 0.0000)  0.00
Ho (0.5000, 0.0000, 0.5000)  0.01
Ho (0.5000, 0.5000, 0.5000)  0.01
Ho (0.0000, 0.5000, 0.5000)  0.01
Np (0.0000, 0.0000, 0.5000)  3.04
O (0.2735, 0.5470, 0.3205)  0.00
O (0.7265, 0.4530, 0.6795)  0.00
O (0.7794, 0.5588, 0.3254)  -0.03
O (0.2206, 0.4412, 0.6746)  -0.03
O (0.7794, 0.0460, 0.3254)  -0.03
O (0.2206, 0.9540, 0.6746)  -0.03
O (0.2666, 0.0460, 0.3254)  -0.03
O (0.7334, 0.9540, 0.6746)  -0.03

Symmetry: R-3m, No. 166
Final energy in eV/atom: -7.46
M_tot in μB per formula unit: 3.000
V in Å³ per atom: 17.60
Formation energy without anion corrections in eV per atom: -2.8151
N(E_F) in states/eV per atom: 0.758


7.
BiMoPPd2: relaxed, GGA-PBE.

Unit cell a=4.5659 b=4.6436 c=4.5659 alpha=90.00 beta=90.00 gamma=90.00
Last column: magnetic moment on the atom in μB.
Atoms (fractional coordinates):
P (0.0000, 0.0000, 0.0000)  -0.03
Mo (0.0000, 0.5000, 0.0000)  1.08
Bi (0.5000, 0.5000, 0.5000)  -0.05
Pd (0.0000, 0.0000, 0.5000)  -0.02
Pd (0.5000, 0.0000, 0.0000)  0.00

Symmetry: P4/mmm, No. 123
Final energy in eV/atom: -6.05
M_tot in μB per formula unit: 1.116
V in Å³ per atom: 19.36
N(E_F) in states/eV per atom: 0.691


8.
NaSb2P2: relaxed, GGA-PBE.

Unit cell a=4.3267 b=4.3267 c=7.4591 alpha=73.14 beta=73.14 gamma=90.00
Atoms (fractional coordinates):
Sb (0.7500, 0.2500, 0.5000)
Sb (0.2500, 0.7500, 0.5000)
Na (0.0000, 0.0000, 0.0000)
P (0.4238, 0.4238, 0.1524)
P (0.5762, 0.5762, 0.8476)

Symmetry: I4/mmm, No. 139
Energy above the lowest structure with this stoichiometry in eV per atom: 0.059
Final energy in eV/atom: -3.96
M_tot in μB per formula unit: 0.000
V in Å³ per atom: 25.47
Formation energy without anion corrections in eV per atom: 0.1189
N(E_F) in states/eV per atom: 0.755